*1*
KIn6Au4 | PBE-GGA | relaxed

```
KIn6Au4
1.0
-3.713 3.713 5.188
3.713 -3.713 5.188
3.713 3.713 -5.188
K In Au
1 6 4
Direct
0.000 0.000 0.000
0.000 0.500 0.500
0.138 0.138 0.655
0.483 0.483 0.345
0.500 0.000 0.500
0.517 0.862 0.000
0.862 0.517 0.000
0.219 0.599 0.000
0.401 0.401 0.620
0.599 0.219 0.000
0.781 0.781 0.380
```

D(E_F): 4.8 states/eV per cell
Space group: I-42m (121)
Mass density: 8.80 g/cm3

***

*2*
KIn6Au4 | PBE-GGA | relaxed

```
KIn6Au4
1.0
8.251 0.000 0.000
-4.126 7.146 0.000
0.000 0.000 4.506
K In Au
1 6 4
Direct
0.000 0.000 0.000
0.197 0.393 0.500
0.197 0.803 0.500
0.535 0.069 0.000
0.535 0.465 0.000
0.607 0.803 0.500
0.931 0.465 0.000
0.333 0.667 0.000
0.408 0.204 0.500
0.796 0.204 0.500
0.796 0.592 0.500
```

D(E_F): 5.4 states/eV per cell
Space group: P-6m2 (187)
Mass density: 9.47 g/cm3

***

The most stable of them is *2*.

***

*1*
K3InAu | PBE-GGA | relaxed

```
K3InAu
1.0
6.271 0.000 0.000
0.000 6.271 0.000
0.000 0.000 6.271
K In Au
3 1 1
Direct
0.000 0.000 0.500
0.000 0.500 0.000
0.500 0.000 0.000
0.500 0.500 0.500
0.000 0.000 0.000
```

D(E_F): 3.2 states/eV per cell
Space group: Pm-3m (221)
Mass density: 2.89 g/cm3

***

*2*
K3InAu | PBE-GGA | relaxed

```
K3InAu
1.0
5.182 0.000 0.000
0.000 11.373 0.000
-0.004 0.000 6.925
K In Au
6 2 2
Direct
0.250 0.032 0.203
0.250 0.468 0.203
0.250 0.750 0.554
0.750 0.250 0.446
0.750 0.532 0.797
0.750 0.968 0.797
0.250 0.250 0.816
0.750 0.750 0.184
0.249 0.750 0.047
0.751 0.250 0.953
```

D(E_F): 5.3 states/eV per cell
Space group: P2_1/m (11)
Mass density: 3.49 g/cm3

***

The most stable of them is *2*.

***

*1*
K2In5Au3 | PBE-GGA | relaxed

```
K2In5Au3
1.0
-5.798 6.844 3.514
5.798 -6.844 3.514
5.798 6.844 -3.514
K In Au
4 10 6
Direct
0.130 0.249 0.379
0.370 0.749 0.119
0.630 0.251 0.881
0.870 0.751 0.621
0.001 0.750 0.251
0.111 0.638 0.749
0.250 0.250 0.000
0.389 0.138 0.527
0.499 0.750 0.749
0.501 0.250 0.251
0.611 0.862 0.473
0.750 0.750 0.000
0.889 0.362 0.251
0.999 0.250 0.749
0.125 0.877 0.001
0.250 0.750 0.500
0.375 0.377 0.752
0.625 0.623 0.248
0.750 0.250 0.500
0.875 0.123 0.999
```

D(E_F): 9.9 states/eV per cell
Space group: Ibam (72)
Mass density: 7.40 g/cm3

***

*2*
K2In5Au3 | PBE-GGA | relaxed

```
K2In5Au3
1.0
2.427 -13.962 0.000
2.427 13.962 0.000
0.000 0.000 7.663
K In Au
4 10 6
Direct
0.020 0.980 0.500
0.324 0.676 0.549
0.676 0.324 0.049
0.980 0.020 0.000
0.102 0.898 0.859
0.207 0.793 0.354
0.208 0.792 0.757
0.376 0.624 0.015
0.448 0.552 0.674
0.552 0.448 0.174
0.624 0.376 0.515
0.792 0.208 0.257
0.793 0.207 0.854
0.898 0.102 0.359
0.110 0.890 0.242
0.273 0.727 0.059
0.450 0.550 0.294
0.550 0.450 0.794
0.727 0.273 0.559
0.890 0.110 0.742
```

D(E_F): 10.2 states/eV per cell
Space group: Cmc2_1 (36)
Mass density: 7.95 g/cm3

***

The most stable of them is *1*.

***

*1*
K3InAu2 | PBE-GGA | relaxed

```
K3InAu2
1.0
8.779 0.000 0.000
0.000 9.705 0.000
-2.998 0.000 9.905
K In Au
12 4 8
Direct
0.175 0.083 0.110
0.175 0.417 0.610
0.224 0.091 0.481
0.224 0.409 0.981
0.265 0.741 0.354
0.265 0.759 0.854
0.735 0.241 0.146
0.735 0.259 0.646
0.776 0.591 0.019
0.776 0.909 0.519
0.825 0.583 0.390
0.825 0.917 0.890
0.437 0.088 0.849
0.437 0.412 0.349
0.563 0.588 0.651
0.563 0.912 0.151
0.097 0.096 0.770
0.097 0.404 0.270
0.486 0.632 0.179
0.486 0.868 0.679
0.514 0.132 0.321
0.514 0.368 0.821
0.903 0.596 0.730
0.903 0.904 0.230
```

D(E_F): 10.9 states/eV per cell
Space group: P2_1/c (14)
Mass density: 4.93 g/cm3

***

*2*
K3InAu2 | PBE-GGA | relaxed

```
K3InAu2
1.0
4.518 2.609 6.822
-4.518 2.609 6.822
0.000 -5.217 6.822
K In Au
6 2 4
Direct
0.027 0.750 0.473
0.250 0.527 0.973
0.473 0.027 0.750
0.527 0.973 0.250
0.750 0.473 0.027
0.973 0.250 0.527
0.000 0.000 0.000
0.500 0.500 0.500
0.135 0.135 0.135
0.365 0.365 0.365
0.635 0.635 0.635
0.865 0.865 0.865
```

D(E_F): 5.2 states/eV per cell
Space group: R-3c (167)
Mass density: 4.31 g/cm3

***

The most stable of them is *1*.

***

*1*
K3In7Au2 | PBE-GGA | relaxed

```
K3In7Au2
1.0
3.258 1.881 9.568
-3.258 1.881 9.568
0.000 -3.762 9.568
K In Au
3 7 2
Direct
0.000 0.000 0.000
0.144 0.144 0.144
0.856 0.856 0.856
0.069 0.580 0.580
0.420 0.420 0.931
0.420 0.931 0.420
0.500 0.500 0.500
0.580 0.069 0.580
0.580 0.580 0.069
0.931 0.420 0.420
0.336 0.336 0.336
0.664 0.664 0.664
```

D(E_F): 6.1 states/eV per cell
Space group: R-3m (166)
Mass density: 6.21 g/cm3

***

*2*
K3In7Au2 | PBE-GGA | relaxed

```
K3In7Au2
1.0
6.543 0.000 0.000
0.000 4.556 0.000
-2.006 0.000 12.219
K In Au
3 7 2
Direct
0.000 0.000 0.000
0.133 0.000 0.383
0.867 0.000 0.617
0.275 0.500 0.191
0.370 0.500 0.606
0.401 0.000 0.789
0.500 0.500 0.000
0.599 0.000 0.211
0.630 0.500 0.394
0.725 0.500 0.809
0.145 0.500 0.806
0.855 0.500 0.194
```

D(E_F): 5.6 states/eV per cell
Space group: P2/m (10)
Mass density: 5.99 g/cm3

***

The most stable of them is *1*.

***

*1*
K2In2Au3 | PBE-GGA | relaxed

```
K2In2Au3
1.0
6.289 -2.305 0.000
6.289 2.305 0.000
-4.429 0.000 6.510
K In Au
2 2 3
Direct
0.159 0.159 0.292
0.841 0.841 0.708
0.143 0.143 0.774
0.857 0.857 0.226
0.416 0.416 0.070
0.500 0.500 0.500
0.584 0.584 0.930
```

D(E_F): 3.0 states/eV per cell
Space group: C2/m (12)
Mass density: 7.91 g/cm3

***

*2*
K2In2Au3 | PBE-GGA | relaxed

```
K2In2Au3
1.0
8.016 0.000 0.000
0.000 7.858 0.000
-3.105 0.000 7.371
K In Au
4 4 6
Direct
0.230 0.165 0.409
0.230 0.335 0.909
0.770 0.665 0.091
0.770 0.835 0.591
0.298 0.692 0.563
0.298 0.808 0.063
0.702 0.192 0.937
0.702 0.308 0.437
0.000 0.000 0.000
0.000 0.500 0.500
0.436 0.565 0.316
0.436 0.935 0.816
0.564 0.065 0.184
0.564 0.435 0.684
```

D(E_F): 5.6 states/eV per cell
Space group: P2_1/c (14)
Mass density: 6.43 g/cm3

***

The most stable of them is *1*.